No. 1
Density functional theory data (GGA-PBE) for a relaxed Tb3InRh4 crystal.

extended XYZ file:
```
8
Lattice="4.7576 0.0000 0.0000 0.0000 4.7576 0.0000 0.0000 0.0000 6.8482" Properties=species:S:1:pos:R:3 pbc="T T T"
Tb 0.0000 0.0000 0.0000
Tb 0.0000 0.0000 3.4241
Tb 2.3788 2.3788 0.0000
In 2.3788 2.3788 3.4241
Rh 0.0000 2.3788 1.7226
Rh 0.0000 2.3788 5.1256
Rh 2.3788 0.0000 1.7226
Rh 2.3788 0.0000 5.1256
```

Summary:
**Energy of formation from the pure elements**: -0.774 eV per atom

No. 2
Density functional theory data (GGA-PBE) for a relaxed TbIn12Rh6 crystal.

extended XYZ file:
```
19
Lattice="6.2378 3.6014 3.0203 -6.2378 3.6014 3.0203 0.0000 -7.2028 3.0203" Properties=species:S:1:pos:R:3 pbc="T T T"
Tb 0.0000 0.0000 0.0000
In -2.3787 -4.1201 4.5304
In -4.7575 0.0000 4.5304
In -1.6034 -0.9257 2.8861
In 1.6034 -0.9257 2.8861
In 0.0000 1.8515 2.8861
In 2.3787 -4.1201 4.5304
In -2.3787 4.1201 4.5304
In 0.0000 -1.8515 6.1748
In -1.6034 0.9257 6.1748
In 1.6034 0.9257 6.1748
In 4.7575 0.0000 4.5304
In 2.3787 4.1201 4.5304
Rh 0.0000 -3.0549 3.7654
Rh -2.6456 1.5274 3.7654
Rh -2.6456 -1.5274 5.2955
Rh 2.6456 1.5274 3.7654
Rh 2.6456 -1.5274 5.2955
Rh 0.0000 3.0549 5.2955
```

Summary:
**Energy of formation from the pure elements**: -0.257 eV per atom

No. 3
Density functional theory data (GGA-PBE) for a relaxed TbIn4Rh2 crystal.

extended XYZ file:
```
28
Lattice="18.3811 0.0000 0.0000 0.0000 4.4822 0.0000 0.0000 0.0000 7.2128" Properties=species:S:1:pos:R:3 pbc="T T T"
Tb 2.5845 1.1206 0.2844
Tb 6.6061 3.3617 3.8908
Tb 11.7751 1.1206 3.3220
Tb 15.7966 3.3617 6.9284
In 0.6344 3.3617 6.1770
In 1.2860 1.1206 3.6059
In 3.4298 3.3617 2.4046
In 3.5211 3.3617 5.3894
In 5.6695 1.1206 1.7830
In 5.7607 1.1206 6.0110
In 7.9045 3.3617 7.2123
In 8.5562 1.1206 2.5706
In 9.8250 3.3617 4.6422
In 10.4766 1.1206 0.0005
In 12.6204 3.3617 1.2018
In 12.7116 3.3617 5.4298
In 14.8601 1.1206 1.8234
In 14.9513 1.1206 4.8083
In 17.0951 3.3617 3.6069
In 17.7467 1.1206 1.0358
Rh 0.7631 3.3617 1.7630
Rh 4.0046 1.1206 3.9179
Rh 5.1860 3.3617 0.3115
Rh 8.4275 1.1206 5.3694
Rh 9.9537 3.3617 1.8434
Rh 13.1951 1.1206 6.9013
Rh 14.3766 3.3617 3.2949
Rh 17.6180 1.1206 5.4498
```

Summary:
**Energy of formation from the pure elements**: -0.471 eV per atom

No. 4
Density functional theory data (GGA-PBE) for a relaxed Tb2InRh4 crystal.

extended XYZ file:
```
7
Lattice="2.3013 1.3287 7.5782 -2.3013 1.3287 7.5782 0.0000 -2.6573 7.5782" Properties=species:S:1:pos:R:3 pbc="T T T"
Tb 0.0000 0.0000 5.5261
Tb 0.0000 0.0000 17.2084
In 0.0000 0.0000 0.0000
Rh 0.0000 0.0000 2.7744
Rh 0.0000 0.0000 8.4618
Rh 0.0000 0.0000 14.2726
Rh 0.0000 0.0000 19.9600
```

Summary:
**Energy of formation from the pure elements**: -0.415 eV per atom

No. 5
Density functional theory data (GGA-PBE) for a relaxed Tb6InRh5 crystal.

extended XYZ file:
```
12
Lattice="-2.4414 3.5850 7.3406 2.4414 -3.5850 7.3406 2.4414 3.5850 -7.3406" Properties=species:S:1:pos:R:3 pbc="T T T"
Tb 2.4414 1.7278 -2.5309
Tb 0.0000 1.6593 0.0000
Tb 2.4414 1.7278 2.5309
Tb 0.0000 1.8572 4.8097
Tb 0.0000 5.5107 0.0000
Tb 0.0000 1.8572 9.8714
In 0.0000 0.0000 7.3406
Rh 2.4414 0.0000 0.0000
Rh 0.0000 0.0000 2.4764
Rh 2.4414 0.0000 4.9711
Rh 0.0000 3.5850 2.3695
Rh 0.0000 0.0000 12.2048
```

Summary:
**Energy of formation from the pure elements**: -0.739 eV per atom

No. 6
Density functional theory data (GGA-PBE) for a relaxed TbIn2Rh crystal.

extended XYZ file:
```
8
Lattice="4.3418 0.0000 0.0000 0.0000 8.0836 0.0000 -2.1435 0.0000 5.0385" Properties=species:S:1:pos:R:3 pbc="T T T"
Tb 0.0127 2.0209 0.6811
Tb 2.1856 6.0627 4.3575
In 0.0145 0.4042 3.5868
In 0.0145 3.6376 3.5868
In 2.1838 4.4460 1.4517
In 2.1838 7.6794 1.4517
Rh 0.0161 6.0627 2.2035
Rh 2.1823 2.0209 2.8351
```

Summary:
**Energy of formation from the pure elements**: -0.612 eV per atom

No. 7
Density functional theory data (GGA-PBE) for a relaxed TbIn2Rh crystal.

extended XYZ file:
```
32
Lattice="15.6901 0.0000 0.0000 0.0000 8.1754 0.0000 0.0000 0.0000 5.5343" Properties=species:S:1:pos:R:3 pbc="T T T"
Tb 1.6374 2.0439 1.3221
Tb 2.1930 6.1316 2.5285
Tb 5.6520 2.0439 5.2957
Tb 6.2076 6.1316 4.0893
Tb 9.4825 2.0439 1.4451
Tb 10.0380 6.1316 0.2387
Tb 13.4971 2.0439 3.0058
Tb 14.0526 6.1316 4.2123
In 0.5773 0.4057 4.1280
In 0.5773 3.6820 4.1280
In 3.3638 4.4763 5.3359
In 3.3638 7.7869 5.3359
In 4.4812 0.3886 2.5687
In 4.4812 3.6992 2.5687
In 7.2678 4.4935 1.3608
In 7.2678 7.7697 1.3608
In 8.4223 0.4057 4.1735
In 8.4223 3.6820 4.1735
In 11.2089 4.4763 2.9656
In 11.2089 7.7869 2.9656
In 12.3262 0.3886 0.1985
In 12.3262 3.6992 0.1985
In 15.1128 4.4935 1.4063
In 15.1128 7.7697 1.4063
Rh 1.1177 6.1316 5.3934
Rh 2.8450 2.0439 4.0857
Rh 5.0001 6.1316 1.3185
Rh 6.7274 2.0439 2.6262
Rh 8.9627 6.1316 2.9081
Rh 10.6900 2.0439 4.2158
Rh 12.8451 6.1316 1.4487
Rh 14.5724 2.0439 0.1410
```

Summary:
**Energy of formation from the pure elements**: -0.599 eV per atom

No. 8
Density functional theory data (GGA-PBE) for a relaxed Tb6InRh2 crystal.

extended XYZ file:
```
18
Lattice="-4.7106 4.8419 5.2204 4.7106 -4.8419 5.2204 4.7106 4.8419 -5.2204" Properties=species:S:1:pos:R:3 pbc="T T T"
Tb 4.7106 2.8869 -2.7441
Tb 2.7223 1.7605 0.0000
Tb 6.6990 1.7605 0.0000
Tb 1.8168 4.8419 -1.7922
Tb 2.8938 0.0000 3.4282
Tb 0.0000 1.9550 2.4762
Tb 4.7106 2.8869 2.7441
Tb 1.8168 4.8419 1.7922
Tb 2.8938 0.0000 7.0126
Tb -1.9884 3.0814 5.2204
Tb 1.9884 3.0814 5.2204
Tb 0.0000 1.9550 7.9645
In 0.0000 0.0000 0.0000
In 0.0000 0.0000 5.2204
Rh 4.7106 0.0000 1.3837
Rh 0.0000 3.2267 0.0000
Rh 0.0000 6.4571 0.0000
Rh 0.0000 4.8419 3.8367
```

Summary:
**Energy of formation from the pure elements**: -0.569 eV per atom

VASP energy (eV per atom)
-6.528 -4.551 -4.798 -6.330 -6.345 -4.977 -4.964 -5.594